Material: K2MnAlS4
Method: DFT, PBE
State: optimized geometry

abc: 5.8234 13.7544 21.8483
angles: 90.00 90.00 90.00
Closest atoms and distances in Å follow each position.
Space group Fddd (No. 70, origin choice 2)
Inequivalent atoms, fractional coordinates:
1 K 0.1250 0.1250 0.3041 (multiplicity 16)  8 S 3.36-3.62
2 Mn 0.1250 0.1250 0.1250 (multiplicity 8)  4 S 2.29
3 Al 0.1250 0.1250 0.6250 (multiplicity 8)  4 S 2.27
4 S 0.1224 0.2757 0.8249 (multiplicity 32)  1 Al 2.27, 1 Mn 2.29

Values from the calculation:
Formation energy without anion corrections ... -1.0400 eV per atom
M_tot ... 0.5000 μB/atom
DOS at the Fermi energy ... 15.54 states/eV per cell
Volume ... 1750.0 Å³/cell

Material: KTiMnAl
Method: DFT, PBE
State: optimized geometry

abc: 3.1647 3.8318 7.9250
angles: 90.00 100.67 90.00
Closest atoms and distances in Å follow each position.
Space group Pm (No. 6)
Inequivalent atoms, fractional coordinates:
1 K 0.0000 0.0000 0.0000 (multiplicity 1)  2 K 3.16, 2 Mn 3.40
2 Ti 0.3176 0.5000 0.6081 (multiplicity 1)  1 Mn 1.93
3 Mn 0.2023 0.5000 0.3597 (multiplicity 1)  1 Ti 1.93
4 Al 0.7289 0.0000 0.4182 (multiplicity 1)  4 Mn 2.53

Values from the calculation:
M_tot ... 0.0855 μB/atom
E_form ... 0.3620 eV/atom
DOS at the Fermi energy ... 1.89 states/eV per cell
Energy relative to the lowest polymorph listed for this composition ... 0.483 eV per formula unit
Volume ... 94.4 Å³/cell

Material: KTiMnAl
Method: DFT, PBE
State: optimized geometry

abc: 3.0372 3.0488 8.9836
angles: 90.00 90.00 90.00
Closest atoms and distances in Å follow each position.
Space group Pmm2 (No. 25)
Inequivalent atoms, fractional coordinates:
1 K 0.0000 0.0000 0.0000 (multiplicity 1)  4 K 3.04-3.05
2 Ti 0.5000 0.5000 0.3814 (multiplicity 1)  4 Mn 2.50, 1 Al 2.70
3 Mn 0.0000 0.0000 0.5228 (multiplicity 1)  4 Ti 2.50, 4 Al 2.59
4 Al 0.5000 0.5000 0.6823 (multiplicity 1)  4 Mn 2.59, 1 Ti 2.70

Values from the calculation:
M_tot ... 0.0076 μB/atom
E_form ... 0.2412 eV/atom
DOS at the Fermi energy ... 3.44 states/eV per cell
Energy relative to the lowest polymorph listed for this composition ... 0.000 eV per formula unit
Volume ... 83.2 Å³/cell

Material: KTiMnAl
Method: DFT, PBE
State: optimized geometry

abc: 7.5841 4.4260 7.0612
angles: 90.00 111.35 90.00
Closest atoms and distances in Å follow each position.
Space group Cm (No. 8)
Inequivalent atoms, fractional coordinates:
1 K 0.0000 0.0000 0.0000 (multiplicity 2)  4 Ti 3.67-3.88, 4 Al 3.72-3.86, 3 Mn 3.93-3.96
2 Ti 0.1887 0.0000 0.5579 (multiplicity 2)  3 Mn 2.59-2.63, 3 Al 2.71-2.72
3 Mn 0.4871 0.0000 0.4605 (multiplicity 2)  3 Al 2.56, 3 Ti 2.59-2.63
4 Al 0.3056 0.5000 0.4135 (multiplicity 2)  3 Mn 2.56, 3 Ti 2.71-2.72

Values from the calculation:
M_tot ... 0.2724 μB/atom
E_form ... 0.4438 eV/atom
DOS at the Fermi energy ... 6.66 states/eV per cell
Energy relative to the lowest polymorph listed for this composition ... 0.811 eV per formula unit
Volume ... 220.8 Å³/cell

Material: KTiMnAl
Method: DFT, PBE
State: optimized geometry

abc: 3.0004 3.0012 10.7392
angles: 82.04 82.11 60.04
Closest atoms and distances in Å follow each position.
Space group P1 (No. 1)
Inequivalent atoms, fractional coordinates:
1 K 0.0000 0.0000 0.0000 (multiplicity 1)  6 K 3.00, 1 Ti 3.31
2 Ti 0.8909 0.8907 0.3125 (multiplicity 1)  3 Al 2.79, 6 Ti 3.00
3 Mn 0.7617 0.7570 0.7113 (multiplicity 1)  3 Al 2.68
4 Al 0.1575 0.1547 0.5189 (multiplicity 1)  3 Mn 2.68, 3 Ti 2.79

Values from the calculation:
M_tot ... 1.1098 μB/atom
E_form ... 0.5536 eV/atom
DOS at the Fermi energy ... 4.56 states/eV per cell
Energy relative to the lowest polymorph listed for this composition ... 1.250 eV per formula unit
Volume ... 82.7 Å³/cell

Material: KAlMo
Method: DFT, PBE
State: optimized geometry

abc: 3.6712 4.1813 16.2341
angles: 90.00 90.00 90.00
Closest atoms and distances in Å follow each position.
Space group Fmm2 (No. 42)
Inequivalent atoms, fractional coordinates:
1 K 0.0000 0.0000 0.0000 (multiplicity 4)  4 K 2.78
2 Al 0.0000 0.0000 0.3183 (multiplicity 4)  4 Mo 2.76-2.93, 4 Al 2.78
3 Mo 0.0000 0.0000 0.6915 (multiplicity 4)  4 Al 2.76-2.93, 4 Mo 2.78

Values from the calculation:
M_tot ... 0.0000 μB/atom
E_form ... 0.6700 eV/atom
DOS at the Fermi energy ... 7.65 states/eV per cell
Energy relative to the lowest polymorph listed for this composition ... 0.030 eV per formula unit
Volume ... 249.2 Å³/cell

Material: KAlMo
Method: DFT, PBE
State: optimized geometry

abc: 6.8100 6.8100 6.8100
angles: 90.00 90.00 90.00
Closest atoms and distances in Å follow each position.
Space group F-43m (No. 216)
Inequivalent atoms, fractional coordinates:
1 K 0.0000 0.0000 0.0000 (multiplicity 4)  4 Mo 2.95
2 Al 0.0000 0.0000 0.5000 (multiplicity 4)  4 Mo 2.95
3 Mo 0.2500 0.2500 0.2500 (multiplicity 4)  4 K 2.95, 4 Al 2.95

Values from the calculation:
M_tot ... 0.7363 μB/atom
E_form ... 1.5465 eV/atom
DOS at the Fermi energy ... 7.19 states/eV per cell
Energy relative to the lowest polymorph listed for this composition ... 2.659 eV per formula unit
Volume ... 315.8 Å³/cell

Material: KAl2Mo
Method: DFT, PBE
State: optimized geometry

abc: 2.9832 2.9832 31.0482
angles: 90.00 90.00 120.00
Closest atoms and distances in Å follow each position.
Space group R-3m (No. 166, hexagonal axes)
Inequivalent atoms, fractional coordinates:
1 K 0.0000 0.0000 0.0000 (multiplicity 3)  6 K 2.98
2 Al 0.0000 0.0000 0.2354 (multiplicity 6)  3 Mo 2.74, 6 Al 2.98
3 Mo 0.0000 0.0000 0.5000 (multiplicity 3)  6 Al 2.74, 6 Mo 2.98

Values from the calculation:
M_tot ... 0.0022 μB/atom
E_form ... 0.3508 eV/atom
DOS at the Fermi energy ... 7.40 states/eV per cell
Energy relative to the lowest polymorph listed for this composition ... 0.441 eV per formula unit
Volume ... 239.3 Å³/cell

Material: KAl2Mo
Method: DFT, PBE
State: optimized geometry

abc: 6.8869 6.8869 6.8869
angles: 90.00 90.00 90.00
Closest atoms and distances in Å follow each position.
Space group Fm-3m (No. 225)
Inequivalent atoms, fractional coordinates:
1 K 0.0000 0.0000 0.0000 (multiplicity 4)  8 Al 2.98
2 Al 0.2500 0.2500 0.2500 (multiplicity 8)  4 Mo 2.98, 4 K 2.98
3 Mo 0.0000 0.0000 0.5000 (multiplicity 4)  8 Al 2.98

Values from the calculation:
M_tot ... 0.4449 μB/atom
E_form ... 0.8654 eV/atom
DOS at the Fermi energy ... 18.72 states/eV per cell
Energy relative to the lowest polymorph listed for this composition ... 2.499 eV per formula unit
Volume ... 326.6 Å³/cell

Material: KAl2Mo
Method: DFT, PBE
State: optimized geometry

abc: 3.9121 4.1011 9.9433
angles: 90.00 90.00 90.00
Closest atoms and distances in Å follow each position.
Space group Cmmm (No. 65)
Inequivalent atoms, fractional coordinates:
1 K 0.0000 0.0000 0.0000 (multiplicity 2)  4 K 2.83
2 Al 0.0000 0.5000 0.2961 (multiplicity 4)  4 Mo 2.82-2.88, 4 Al 2.83
3 Mo 0.0000 0.0000 0.5000 (multiplicity 2)  8 Al 2.82-2.88, 4 Mo 2.83

Values from the calculation:
M_tot ... 0.0000 μB/atom
E_form ... 0.2506 eV/atom
DOS at the Fermi energy ... 4.25 states/eV per cell
Energy relative to the lowest polymorph listed for this composition ... 0.040 eV per formula unit
Volume ... 159.5 Å³/cell

Material: KAlMo
Method: DFT, PBE
State: optimized geometry

abc: 2.9189 2.9189 8.3512
angles: 90.00 90.00 120.00
Closest atoms and distances in Å follow each position.
Space group P3m1 (No. 156)
Inequivalent atoms, fractional coordinates:
1 K 0.0000 0.0000 0.0000 (multiplicity 1)  6 K 2.92
2 Al 0.3333 0.6667 0.6310 (multiplicity 1)  3 Mo 2.76, 6 Al 2.92
3 Mo 0.6667 0.3333 0.3688 (multiplicity 1)  3 Al 2.76, 6 Mo 2.92

Values from the calculation:
M_tot ... 0.0000 μB/atom
E_form ... 0.7253 eV/atom
DOS at the Fermi energy ... 1.41 states/eV per cell
Energy relative to the lowest polymorph listed for this composition ... 0.196 eV per formula unit
Volume ... 61.6 Å³/cell

Material: KAl2Mo
Method: DFT, PBE
State: optimized geometry

abc: 2.7806 5.2435 5.7340
angles: 90.00 90.00 90.00
Closest atoms and distances in Å follow each position.
Space group Pmmm (No. 47)
Inequivalent atoms, fractional coordinates:
1 K 0.0000 0.0000 0.0000 (multiplicity 1)  2 K 2.78, 4 Al 2.97
2 Al 0.0000 0.5000 0.5000 (multiplicity 1)  2 Al 2.78, 4 Mo 2.97
3 Al 0.5000 0.5000 0.0000 (multiplicity 1)  2 Al 2.78, 4 K 2.97
4 Mo 0.5000 0.0000 0.5000 (multiplicity 1)  2 Mo 2.78, 4 Al 2.97

Values from the calculation:
M_tot ... 0.2375 μB/atom
E_form ... 1.0160 eV/atom
DOS at the Fermi energy ... 2.76 states/eV per cell
Energy relative to the lowest polymorph listed for this composition ... 3.102 eV per formula unit
Volume ... 83.6 Å³/cell

Copy entry 9 word for word.
Material: KAl2Mo
Method: DFT, PBE
State: optimized geometry

abc: 6.8869 6.8869 6.8869
angles: 90.00 90.00 90.00
Closest atoms and distances in Å follow each position.
Space group Fm-3m (No. 225)
Inequivalent atoms, fractional coordinates:
1 K 0.0000 0.0000 0.0000 (multiplicity 4)  8 Al 2.98
2 Al 0.2500 0.2500 0.2500 (multiplicity 8)  4 Mo 2.98, 4 K 2.98
3 Mo 0.0000 0.0000 0.5000 (multiplicity 4)  8 Al 2.98

Values from the calculation:
M_tot ... 0.4449 μB/atom
E_form ... 0.8654 eV/atom
DOS at the Fermi energy ... 18.72 states/eV per cell
Energy relative to the lowest polymorph listed for this composition ... 2.499 eV per formula unit
Volume ... 326.6 Å³/cell